Entry 1:
# Ba2HoPb2O6 | the Alexandria database | PBE | relaxed
data_Ba2HoPb2O6
_space_group_name_H-M_alt 'P 1'
_space_group_IT_number 1
_space_group_name_Hall 'P 1'
_cell_length_a 6.361
_cell_length_b 6.361
_cell_length_c 7.296
_cell_angle_alpha 64.16
_cell_angle_beta 64.16
_cell_angle_gamma 60.00
loop_
_atom_site_label
_atom_site_type_symbol
_atom_site_fract_x
_atom_site_fract_y
_atom_site_fract_z
O1 O 0.764 0.764 0.253
O2 O 0.236 0.780 0.747
O3 O 0.764 0.220 0.253
O4 O 0.220 0.764 0.253
O5 O 0.780 0.236 0.747
O6 O 0.236 0.236 0.747
Pb1 Pb 0.625 0.625 0.124
Pb2 Pb 0.375 0.375 0.876
Ba1 Ba 0.809 0.809 0.572
Ba2 Ba 0.191 0.191 0.428
Ho1 Ho 0.000 0.000 0.000
# uncorrected energy: -6.1430 eV/atom
# density of states at the Fermi level: 0.530 states/eV per atom

=====

Entry 2:
# K2U2TiSe6 | the Alexandria database | PBE | relaxed
data_K2U2TiSe6
_space_group_name_H-M_alt 'P 1'
_space_group_IT_number 1
_space_group_name_Hall 'P 1'
_cell_length_a 6.904
_cell_length_b 6.904
_cell_length_c 8.295
_cell_angle_alpha 98.25
_cell_angle_beta 98.25
_cell_angle_gamma 119.51
loop_
_atom_site_label
_atom_site_type_symbol
_atom_site_fract_x
_atom_site_fract_y
_atom_site_fract_z
Se1 Se 0.384 0.070 0.699
Se2 Se 0.070 0.384 0.699
Se3 Se 0.246 0.246 0.302
Se4 Se 0.616 0.930 0.301
Se5 Se 0.930 0.616 0.301
Se6 Se 0.754 0.754 0.698
Ti1 Ti 0.000 0.000 0.500
K1 K 0.170 0.830 0.000
K2 K 0.830 0.170 0.000
U1 U 0.333 0.667 0.500
U2 U 0.667 0.333 0.500
# uncorrected energy: -6.1051 eV/atom
# density of states at the Fermi level: 1.056 states/eV per atom

=====

Entry 3:
# KCa2Hf | the Alexandria database | PBE | relaxed
data_KCa2Hf
_space_group_name_H-M_alt 'P 1'
_space_group_IT_number 1
_space_group_name_Hall 'P 1'
_cell_length_a 5.035
_cell_length_b 5.035
_cell_length_c 12.697
_cell_angle_alpha 78.56
_cell_angle_beta 78.56
_cell_angle_gamma 90.00
loop_
_atom_site_label
_atom_site_type_symbol
_atom_site_fract_x
_atom_site_fract_y
_atom_site_fract_z
Ca1 Ca 0.375 0.358 0.750
Ca2 Ca 0.108 0.625 0.250
Ca3 Ca 0.642 0.125 0.250
Ca4 Ca 0.875 0.892 0.750
Hf1 Hf 0.000 0.000 0.000
Hf2 Hf 0.750 0.250 0.500
K1 K 0.500 0.500 0.000
K2 K 0.250 0.750 0.500
# calculated formation energy: 105 kJ/mol of atoms
# density of states at the Fermi level: 1.241 states/eV per atom